A plane-wave DFT calculation with GGA-PBE was carried out for a relaxed TlCr2Re crystal.

Cell: 2.9479 2.9479 7.3599 Å, 90.00 90.00 90.00°
Last column: nearest neighbours and their distance in Å.
Positions (direct):
Tl (0.0000, 0.0000, 0.0000)  4 Tl 2.95, 4 Cr 3.01, 4 Re 3.09
Cr (0.0000, 0.0000, 0.4958)  4 Re 2.53, 4 Cr 2.55
Cr (0.5000, 0.5000, 0.2954)  4 Cr 2.55
Re (0.5000, 0.5000, 0.6910)  4 Cr 2.53

Summary:
relative energy among the computed polymorphs	0.068	eV/atom
space-group type	P4mm
V	16.0	Å³/atom
E_form	540	meV/atom
N(E_F)	3.09	states/eV per cell



A plane-wave DFT calculation with GGA-PBE was carried out for a relaxed TbHoHgPb crystal.

Cell: 3.9151 5.2501 5.2523 Å, 90.00 90.00 90.00°
Last column: nearest neighbours and their distance in Å.
Positions (direct):
Tb (0.0000, 0.0000, 0.0000)  4 Pb 3.27, 4 Hg 3.28
Ho (0.0000, 0.5000, 0.5000)  4 Hg 3.27, 4 Pb 3.28
Hg (0.5000, 0.0000, 0.5000)  4 Ho 3.27, 4 Tb 3.28
Pb (0.5000, 0.5000, 0.0000)  4 Tb 3.27, 4 Ho 3.28

Summary:
relative energy among the computed polymorphs	0.000	eV/atom
space-group type	Pmmm
V	27.0	Å³/atom
E_form	-457	meV/atom
N(E_F)	3.51	states/eV per cell



A plane-wave DFT calculation with GGA-PBE was carried out for a relaxed Ba3SmTi2O8 crystal.

Cell: 6.0763 6.0763 7.7852 Å, 90.00 90.00 120.00°
Last column: nearest neighbours and their distance in Å.
Positions (direct):
Ba (0.0000, 0.0000, 0.0000)  6 O 3.01
Ba (0.3333, 0.6667, 0.6630)  1 O 2.46
Ba (0.6667, 0.3333, 0.3370)  1 O 2.46
Sm (0.0000, 0.0000, 0.5000)  6 O 2.34
Ti (0.3333, 0.6667, 0.2099)  4 O 1.79-1.87
Ti (0.6667, 0.3333, 0.7901)  4 O 1.79-1.87
O (0.1714, 0.3427, 0.3094)  1 Ti 1.87
O (0.1714, 0.8286, 0.3094)  1 Ti 1.87
O (0.3333, 0.6667, 0.9795)  1 Ti 1.79
O (0.3427, 0.1714, 0.6906)  1 Ti 1.87
O (0.6573, 0.8286, 0.3094)  1 Ti 1.87
O (0.6667, 0.3333, 0.0205)  1 Ti 1.79
O (0.8286, 0.1714, 0.6906)  1 Ti 1.87
O (0.8286, 0.6573, 0.6906)  1 Ti 1.87

Summary:
space-group type	P-3m1
raw formation energy	-2953	meV per atom
V	17.8	Å³/atom
N(E_F)	4.60	states/eV per cell



A plane-wave DFT calculation with GGA-PBE was carried out for a relaxed Tb5Pr6Y2 crystal.

Cell: 11.8256 20.8096 3.6502 Å, 90.00 90.00 90.00°
Last column: nearest neighbours and their distance in Å.
Positions (direct):
Tb (0.0000, 0.0000, 0.0000)  6 Pr 3.46-3.47, 4 Tb 3.65-3.74
Tb (0.0931, 0.2740, 0.0000)  5 Pr 3.35-3.56, 4 Y 3.58-3.63, 2 Tb 3.65
Tb (0.1990, 0.5559, 0.0000)  6 Pr 3.55-3.75, 3 Tb 3.65-3.74, 2 Y 3.73
Tb (0.3010, 0.0559, 0.0000)  6 Pr 3.55-3.75, 3 Tb 3.65-3.74, 2 Y 3.73
Tb (0.4069, 0.7740, 0.0000)  5 Pr 3.35-3.56, 4 Y 3.58-3.63, 2 Tb 3.65
Tb (0.5000, 0.5000, 0.0000)  6 Pr 3.46-3.47, 4 Tb 3.65-3.74
Tb (0.5931, 0.2260, 0.0000)  5 Pr 3.35-3.56, 4 Y 3.58-3.63, 2 Tb 3.65
Tb (0.6990, 0.9441, 0.0000)  6 Pr 3.55-3.75, 3 Tb 3.65-3.74, 2 Y 3.73
Tb (0.8010, 0.4441, 0.0000)  6 Pr 3.55-3.75, 3 Tb 3.65-3.74, 2 Y 3.73
Tb (0.9069, 0.7260, 0.0000)  5 Pr 3.35-3.56, 4 Y 3.58-3.63, 2 Tb 3.65
Pr (0.0596, 0.4199, 0.5000)  6 Tb 3.56-3.75, 5 Pr 3.62-3.80, 1 Y 3.81
Pr (0.0823, 0.1331, 0.5000)  1 Y 3.39, 6 Tb 3.46-3.55, 4 Pr 3.54-3.65
Pr (0.1746, 0.8660, 0.0000)  2 Tb 3.35-3.47, 4 Pr 3.54-3.65, 2 Y 3.71
Pr (0.3254, 0.3660, 0.0000)  2 Tb 3.35-3.47, 4 Pr 3.54-3.65, 2 Y 3.71
Pr (0.4177, 0.6331, 0.5000)  1 Y 3.39, 6 Tb 3.46-3.55, 4 Pr 3.54-3.65
Pr (0.4404, 0.9199, 0.5000)  6 Tb 3.56-3.75, 5 Pr 3.62-3.80, 1 Y 3.81
Pr (0.5596, 0.0801, 0.5000)  6 Tb 3.56-3.75, 5 Pr 3.62-3.80, 1 Y 3.81
Pr (0.5823, 0.3669, 0.5000)  1 Y 3.39, 6 Tb 3.46-3.55, 4 Pr 3.54-3.65
Pr (0.6746, 0.6340, 0.0000)  2 Tb 3.35-3.47, 4 Pr 3.54-3.65, 2 Y 3.71
Pr (0.8254, 0.1340, 0.0000)  2 Tb 3.35-3.47, 4 Pr 3.54-3.65, 2 Y 3.71
Pr (0.9177, 0.8669, 0.5000)  1 Y 3.39, 6 Tb 3.46-3.55, 4 Pr 3.54-3.65
Pr (0.9404, 0.5801, 0.5000)  6 Tb 3.56-3.75, 5 Pr 3.62-3.80, 1 Y 3.81
Y (0.1659, 0.7109, 0.5000)  3 Pr 3.39-3.71, 6 Tb 3.58-3.73, 2 Y 3.65
Y (0.3341, 0.2109, 0.5000)  3 Pr 3.39-3.71, 6 Tb 3.58-3.73, 2 Y 3.65
Y (0.6659, 0.7891, 0.5000)  3 Pr 3.39-3.71, 6 Tb 3.58-3.73, 2 Y 3.65
Y (0.8341, 0.2891, 0.5000)  3 Pr 3.39-3.71, 6 Tb 3.58-3.73, 2 Y 3.65

Summary:
space-group type	Pbam
V	34.5	Å³/atom
E_form	98	meV/atom
N(E_F)	30.35	states/eV per cell



A plane-wave DFT calculation with GGA-PBE was carried out for a relaxed Dy10Er4Sc crystal.

Cell: 8.5505 8.5505 8.5505 Å, 111.16 111.16 106.14°
Last column: nearest neighbours and their distance in Å.
Positions (direct):
Dy (0.0502, 0.3750, 0.1021)  5 Dy 3.11-3.32
Dy (0.0518, 0.9498, 0.3248)  5 Dy 3.11-3.32
Dy (0.2500, 0.7500, 0.5000)  4 Dy 3.11, 4 Er 3.14
Dy (0.2729, 0.9482, 0.8979)  5 Dy 3.11-3.32
Dy (0.3750, 0.2729, 0.3248)  5 Dy 3.11-3.32
Dy (0.6250, 0.7271, 0.6752)  5 Dy 3.11-3.32
Dy (0.7271, 0.0518, 0.1021)  5 Dy 3.11-3.32
Dy (0.7500, 0.2500, 0.5000)  4 Dy 3.11, 4 Er 3.14
Dy (0.9482, 0.0502, 0.6752)  5 Dy 3.11-3.32
Dy (0.9498, 0.6250, 0.8979)  5 Dy 3.11-3.32
Er (0.1745, 0.4340, 0.6085)  2 Dy 3.14, 1 Sc 3.21
Er (0.4340, 0.8255, 0.2595)  2 Dy 3.14, 1 Sc 3.21
Er (0.5660, 0.1745, 0.7405)  2 Dy 3.14, 1 Sc 3.21
Er (0.8255, 0.5660, 0.3915)  2 Dy 3.14, 1 Sc 3.21
Sc (0.5000, 0.5000, 0.0000)  4 Er 3.21

Summary:
space-group type	I4/m
V	32.0	Å³/atom
E_form	377	meV/atom
N(E_F)	23.61	states/eV per cell



A plane-wave DFT calculation with GGA-PBE was carried out for a relaxed BaP2HO crystal.

Cell: 7.0096 7.0096 4.6736 Å, 90.00 90.00 90.00°
Last column: nearest neighbours and their distance in Å.
Positions (direct):
Ba (0.0000, 0.0000, 0.0000)  2 O 2.34
P (0.0000, 0.5000, 0.0000)  2 Ba 3.50
P (0.5000, 0.0000, 0.0000)  2 Ba 3.50
H (0.5000, 0.5000, 0.5000)  8 P 4.21, 2 H 4.67
O (0.0000, 0.0000, 0.5000)  2 Ba 2.34

Summary:
relative energy among the computed polymorphs	1.437	eV/atom
space-group type	P4/mmm
V	45.9	Å³/atom
N(E_F)	2.67	states/eV per cell



A plane-wave DFT calculation with GGA-PBE was carried out for a relaxed HoPuBi crystal.

Cell: 5.9043 5.9043 5.9043 Å, 139.35 139.35 58.84°
Last column: nearest neighbours and their distance in Å.
Positions (direct):
Ho (0.0000, 0.0000, 0.0000)  5 Pu 3.23-3.47, 5 Bi 3.28-3.60
Pu (0.6860, 0.6860, 0.0000)  5 Ho 3.23-3.47, 5 Bi 3.36-3.45
Bi (0.3502, 0.3502, 0.0000)  5 Ho 3.28-3.60, 5 Pu 3.36-3.45

Summary:
space-group type	I4mm
V	28.8	Å³/atom
E_form	-256	meV/atom
N(E_F)	8.68	states/eV per cell



A plane-wave DFT calculation with GGA-PBE was carried out for a relaxed Pu3ZnIr3 crystal.

Cell: 5.4231 5.4231 13.4122 Å, 90.00 90.00 133.14°
Last column: nearest neighbours and their distance in Å.
Positions (direct):
Pu (0.0263, 0.9737, 0.7500)  1 Ir 2.73
Pu (0.3015, 0.6985, 0.6057)  6 Ir 2.81-3.01
Pu (0.3015, 0.6985, 0.8943)  6 Ir 2.81-3.01
Pu (0.6985, 0.3015, 0.1057)  6 Ir 2.81-3.01
Pu (0.6985, 0.3015, 0.3943)  6 Ir 2.81-3.01
Pu (0.9737, 0.0263, 0.2500)  1 Ir 2.73
Zn (0.0000, 0.0000, 0.0000)  4 Ir 2.62
Zn (0.0000, 0.0000, 0.5000)  4 Ir 2.62
Ir (0.2482, 0.7518, 0.2500)  2 Ir 2.69, 5 Pu 2.73-2.94
Ir (0.4088, 0.5912, 0.0883)  2 Zn 2.62, 1 Ir 2.69, 2 Pu 2.81-2.89
Ir (0.4088, 0.5912, 0.4117)  2 Zn 2.62, 1 Ir 2.69, 2 Pu 2.81-2.89
Ir (0.5912, 0.4088, 0.5883)  2 Zn 2.62, 1 Ir 2.69, 2 Pu 2.81-2.89
Ir (0.5912, 0.4088, 0.9117)  2 Zn 2.62, 1 Ir 2.69, 2 Pu 2.81-2.89
Ir (0.7518, 0.2482, 0.7500)  2 Ir 2.69, 5 Pu 2.73-2.94

Summary:
space-group type	Cmcm
V	20.6	Å³/atom
E_form	-472	meV/atom
N(E_F)	43.84	states/eV per cell



A plane-wave DFT calculation with GGA-PBE was carried out for a relaxed SiSb2Os crystal.

Cell: 3.2343 3.2343 7.4447 Å, 90.00 90.00 90.00°
Last column: nearest neighbours and their distance in Å.
Positions (direct):
Si (0.0000, 0.0000, 0.0000)  8 Sb 3.05, 4 Si 3.23
Sb (0.5000, 0.5000, 0.2714)  4 Os 2.85, 4 Si 3.05
Sb (0.5000, 0.5000, 0.7286)  4 Os 2.85, 4 Si 3.05
Os (0.0000, 0.0000, 0.5000)  8 Sb 2.85

Summary:
space-group type	P4/mmm
raw formation energy	517	meV per atom
V	19.5	Å³/atom
N(E_F)	2.09	states/eV per cell



A plane-wave DFT calculation with GGA-PBE was carried out for a relaxed Lu2ScSb crystal.

Cell: 10.3816 10.3816 10.3816 Å, 19.39 19.39 19.39°
Last column: nearest neighbours and their distance in Å.
Positions (direct):
Lu (0.2472, 0.2472, 0.2472)  3 Sb 3.18, 3 Sc 3.32, 6 Lu 3.50
Lu (0.7528, 0.7528, 0.7528)  3 Sb 3.18, 3 Sc 3.32, 6 Lu 3.50
Sc (0.0000, 0.0000, 0.0000)  6 Lu 3.32, 6 Sc 3.50
Sb (0.5000, 0.5000, 0.5000)  6 Lu 3.18, 6 Sb 3.50

Summary:
relative energy among the computed polymorphs	0.228	eV/atom
space-group type	R-3m
raw formation energy	-239	meV per atom
V	27.0	Å³/atom
N(E_F)	4.87	states/eV per cell



A plane-wave DFT calculation with GGA-PBE was carried out for a relaxed Pm3Sn2Br crystal.

Cell: 3.5690 3.5690 12.9508 Å, 90.00 90.00 90.00°
Last column: nearest neighbours and their distance in Å.
Positions (direct):
Pm (0.0000, 0.0000, 0.0000)  8 Sn 3.37, 4 Pm 3.57
Pm (0.0000, 0.0000, 0.3348)  4 Sn 3.29, 4 Br 3.31, 4 Pm 3.57
Pm (0.0000, 0.0000, 0.6652)  4 Sn 3.29, 4 Br 3.31, 4 Pm 3.57
Sn (0.5000, 0.5000, 0.1722)  8 Pm 3.29-3.37, 4 Sn 3.57
Sn (0.5000, 0.5000, 0.8278)  8 Pm 3.29-3.37, 4 Sn 3.57
Br (0.5000, 0.5000, 0.5000)  8 Pm 3.31, 4 Br 3.57

Summary:
space-group type	P4/mmm
raw formation energy	-815	meV per atom
V	27.5	Å³/atom
N(E_F)	4.78	states/eV per cell



A plane-wave DFT calculation with GGA-PBE was carried out for a relaxed Na3IrF6 crystal.

Cell: 6.6076 6.2705 5.4366 Å, 68.29 61.85 49.86°
Last column: nearest neighbours and their distance in Å.
Positions (direct):
Na (0.0000, 0.0000, 0.0000)  2 F 2.11
Na (0.2500, 0.2500, 0.2500)  4 F 2.42
Na (0.7500, 0.7500, 0.7500)  4 F 2.42
Ir (0.5000, 0.5000, 0.5000)  6 F 2.01-2.04
F (0.1536, 0.5864, 0.8464)  1 Ir 2.04
F (0.2558, 0.7442, 0.2558)  1 Ir 2.01, 1 Na 2.11
F (0.4136, 0.8464, 0.5864)  1 Ir 2.04
F (0.5864, 0.1536, 0.4136)  1 Ir 2.04
F (0.7442, 0.2558, 0.7442)  1 Ir 2.01, 1 Na 2.11
F (0.8464, 0.4136, 0.1536)  1 Ir 2.04

Summary:
relative energy among the computed polymorphs	0.091	eV/atom
space-group type	Fmmm
raw formation energy	-2132	meV per atom
V	15.1	Å³/atom
N(E_F)	0.00	states/eV per cell